TbDyTeO2 | PBE | optimized geometry

Cell lengths 6.806, 4.081, 7.775 Å; angles 90.00, 106.24, 90.00 degrees
Fractional coordinates of all 10 atoms:
Tb 0.165 0.250 0.411
Tb 0.835 0.750 0.589
Dy 0.166 0.250 0.921
Dy 0.834 0.750 0.079
Te 0.452 0.750 0.238
Te 0.548 0.250 0.762
O 0.005 0.750 0.377
O 0.019 0.750 0.878
O 0.981 0.250 0.122
O 0.995 0.250 0.623

## Properties
Calculated density in Mg/m³: 7.705
Fermi-level density of states in states/eV/atom: 0.0000
Space-group type: P2_1/m (11)
Final energy in eV per atom: -7.4347
Uncorrected formation energy in eV/f.u.: -14.88
Total moment in μB per cell: 0.00
Crystal system: monoclinic



BaGa2Ag8 | PBE | optimized geometry

Cell lengths 5.643, 5.643, 9.282 Å; angles 90.00, 90.00, 90.00 degrees
Fractional coordinates of all 11 atoms:
Ba 0.000 0.000 0.000
Ga 0.000 0.500 0.500
Ga 0.500 0.000 0.500
Ag 0.252 0.252 0.306
Ag 0.252 0.252 0.694
Ag 0.252 0.748 0.306
Ag 0.252 0.748 0.694
Ag 0.748 0.252 0.306
Ag 0.748 0.252 0.694
Ag 0.748 0.748 0.306
Ag 0.748 0.748 0.694

## Properties
Calculated density in Mg/m³: 6.403
Fermi-level density of states in states/eV/atom: 0.3467
Space-group type: P4/mmm (123)
Final energy in eV per atom: -2.6368
DFT formation energy in eV per formula unit: 1.78
Total moment in μB per cell: 0.00
Crystal system: tetragonal



Q: Which value of final energy does entry 2 give?
A: -2.6368 eV per atom



Please write out number 2 again, unchanged.
BaGa2Ag8 | PBE | optimized geometry

Cell lengths 5.643, 5.643, 9.282 Å; angles 90.00, 90.00, 90.00 degrees
Fractional coordinates of all 11 atoms:
Ba 0.000 0.000 0.000
Ga 0.000 0.500 0.500
Ga 0.500 0.000 0.500
Ag 0.252 0.252 0.306
Ag 0.252 0.252 0.694
Ag 0.252 0.748 0.306
Ag 0.252 0.748 0.694
Ag 0.748 0.252 0.306
Ag 0.748 0.252 0.694
Ag 0.748 0.748 0.306
Ag 0.748 0.748 0.694

## Properties
Calculated density in Mg/m³: 6.403
Fermi-level density of states in states/eV/atom: 0.3467
Space-group type: P4/mmm (123)
Final energy in eV per atom: -2.6368
DFT formation energy in eV per formula unit: 1.78
Total moment in μB per cell: 0.00
Crystal system: tetragonal



Repeat the first record exactly.
TbDyTeO2 | PBE | optimized geometry

Cell lengths 6.806, 4.081, 7.775 Å; angles 90.00, 106.24, 90.00 degrees
Fractional coordinates of all 10 atoms:
Tb 0.165 0.250 0.411
Tb 0.835 0.750 0.589
Dy 0.166 0.250 0.921
Dy 0.834 0.750 0.079
Te 0.452 0.750 0.238
Te 0.548 0.250 0.762
O 0.005 0.750 0.377
O 0.019 0.750 0.878
O 0.981 0.250 0.122
O 0.995 0.250 0.623

## Properties
Calculated density in Mg/m³: 7.705
Fermi-level density of states in states/eV/atom: 0.0000
Space-group type: P2_1/m (11)
Final energy in eV per atom: -7.4347
Uncorrected formation energy in eV/f.u.: -14.88
Total moment in μB per cell: 0.00
Crystal system: monoclinic